# AcCeNO

Crystalline AcCeNO at its relaxed geometry (PBE, Alexandria via LeMat-Bulk).

Crystal system = tetragonal
Raw total energy = -7.577 eV per atom
Total moment = 0.0 μB per formula unit

```
AcCeNO
1.0
4.1875 0.0000 0.0000
0.0000 4.1875 0.0000
0.0000 0.0000 9.2615
Ac Ce N O
2 2 2 2
Direct
0.2500 0.2500 0.1391
0.7500 0.7500 0.8609
0.2500 0.7500 0.5000
0.7500 0.2500 0.5000
0.2500 0.2500 0.6418
0.7500 0.7500 0.3582
0.2500 0.7500 0.0000
0.7500 0.2500 0.0000
```

# Ac2CeOsN4

Crystalline Ac2CeOsN4 at its relaxed geometry (PBE, Alexandria via LeMat-Bulk).

Crystal system = orthorhombic
Raw total energy = -7.962 eV per atom
Total moment = 0.0 μB per formula unit

```
Ac2CeOsN4
1.0
1.7473 -6.1056 0.0000
1.7473 6.1056 0.0000
0.0000 0.0000 12.8848
Ac Ce Os N
4 2 2 8
Direct
0.1344 0.8656 0.5482
0.1344 0.8656 0.9518
0.8656 0.1344 0.0482
0.8656 0.1344 0.4518
0.3906 0.6094 0.7500
0.6094 0.3906 0.2500
0.3435 0.6565 0.2500
0.6565 0.3435 0.7500
0.0600 0.9400 0.7500
0.2117 0.7883 0.1499
0.2117 0.7883 0.3501
0.5000 0.5000 0.0000
0.5000 0.5000 0.5000
0.7883 0.2117 0.6499
0.7883 0.2117 0.8501
0.9400 0.0600 0.2500
```

# Ac3CeOs2N6

Crystalline Ac3CeOs2N6 at its relaxed geometry (PBE, Alexandria via LeMat-Bulk).

Crystal system = trigonal
Raw total energy = -8.201 eV per atom
Total moment = 0.0 μB per formula unit

```
Ac3CeOs2N6
1.0
6.1085 0.0000 0.0000
-3.0543 5.2902 0.0000
0.0000 0.0000 6.8322
Ac Ce Os N
3 1 2 6
Direct
0.0000 0.0000 0.0000
0.3333 0.6667 0.6878
0.6667 0.3333 0.3122
0.0000 0.0000 0.5000
0.3333 0.6667 0.1785
0.6667 0.3333 0.8215
0.1727 0.3454 0.2894
0.1727 0.8273 0.2894
0.3454 0.1727 0.7106
0.6546 0.8273 0.2894
0.8273 0.1727 0.7106
0.8273 0.6546 0.7106
```

# Ac2CeOsN5

Crystalline Ac2CeOsN5 at its relaxed geometry (PBE, Alexandria via LeMat-Bulk).

Crystal system = tetragonal
Raw total energy = -8.116 eV per atom
Total moment = 1.3 μB per formula unit

```
Ac2CeOsN5
1.0
-3.5245 3.5245 5.9791
3.5245 -3.5245 5.9791
3.5245 3.5245 -5.9791
Ac Ce Os N
4 2 2 10
Direct
0.1763 0.6763 0.8527
0.3237 0.1763 0.5000
0.6763 0.8237 0.5000
0.8237 0.3237 0.1473
0.2500 0.2500 0.0000
0.7500 0.7500 0.0000
0.2500 0.7500 0.5000
0.7500 0.2500 0.5000
0.0000 0.0000 0.0000
0.0065 0.7982 0.5000
0.2018 0.7018 0.2082
0.2982 0.5065 0.5000
0.4935 0.9935 0.7918
0.5000 0.5000 0.0000
0.5065 0.0065 0.2082
0.7018 0.4935 0.5000
0.7982 0.2982 0.7918
0.9935 0.2018 0.5000
```

# Ac2CePN5

Crystalline Ac2CePN5 at its relaxed geometry (PBE, Alexandria via LeMat-Bulk).

Crystal system = tetragonal
Raw total energy = -7.862 eV per atom
Total moment = 0.1 μB per formula unit

```
Ac2CePN5
1.0
-3.5612 3.5612 5.4011
3.5612 -3.5612 5.4011
3.5612 3.5612 -5.4011
Ac Ce P N
4 2 2 10
Direct
0.1799 0.6799 0.8598
0.3201 0.1799 0.5000
0.6799 0.8201 0.5000
0.8201 0.3201 0.1402
0.2500 0.2500 0.0000
0.7500 0.7500 0.0000
0.2500 0.7500 0.5000
0.7500 0.2500 0.5000
0.0000 0.0000 0.0000
0.0271 0.7941 0.5000
0.2059 0.7059 0.2330
0.2941 0.5271 0.5000
0.4729 0.9729 0.7670
0.5000 0.5000 0.0000
0.5271 0.0271 0.2330
0.7059 0.4729 0.5000
0.7941 0.2941 0.7670
0.9729 0.2059 0.5000
```

# Ac4CePa3N8

Crystalline Ac4CePa3N8 at its relaxed geometry (PBE, Alexandria via LeMat-Bulk).

Crystal system = trigonal
Raw total energy = -8.755 eV per atom
Total moment = 0.0 μB per formula unit

```
Ac4CePa3N8
1.0
3.6522 2.1086 6.1557
-3.6522 2.1086 6.1557
0.0000 -4.2172 6.1557
Ac Ce Pa N
4 1 3 8
Direct
0.0000 0.0000 0.0000
0.0000 0.5000 0.5000
0.5000 0.0000 0.5000
0.5000 0.5000 0.0000
0.5000 0.5000 0.5000
0.0000 0.0000 0.5000
0.0000 0.5000 0.0000
0.5000 0.0000 0.0000
0.2156 0.7371 0.7371
0.2292 0.2292 0.2292
0.2629 0.2629 0.7844
0.2629 0.7844 0.2629
0.7371 0.2156 0.7371
0.7371 0.7371 0.2156
0.7708 0.7708 0.7708
0.7844 0.2629 0.2629
```

# AcCePaN3

Crystalline AcCePaN3 at its relaxed geometry (PBE, Alexandria via LeMat-Bulk).

Crystal system = monoclinic
Raw total energy = -8.747 eV per atom
Total moment = 0.6 μB per formula unit

```
AcCePaN3
1.0
6.1700 0.0000 0.0000
0.0000 3.6161 0.0000
-1.9305 0.0000 9.2951
Ac Ce Pa N
2 2 2 6
Direct
0.1475 0.2500 0.1916
0.8525 0.7500 0.8084
0.3624 0.2500 0.8569
0.6376 0.7500 0.1431
0.2634 0.7500 0.5453
0.7366 0.2500 0.4547
0.0461 0.2500 0.6313
0.2611 0.7500 0.0003
0.4643 0.7500 0.3690
0.5357 0.2500 0.6310
0.7389 0.2500 0.9997
0.9539 0.7500 0.3687
```

# Ac4Ce3PaN8

Crystalline Ac4Ce3PaN8 at its relaxed geometry (PBE, Alexandria via LeMat-Bulk).

Crystal system = trigonal
Raw total energy = -8.225 eV per atom
Total moment = 0.0 μB per formula unit

```
Ac4Ce3PaN8
1.0
3.6769 2.1229 6.1643
-3.6769 2.1229 6.1643
0.0000 -4.2457 6.1643
Ac Ce Pa N
4 3 1 8
Direct
0.0000 0.0000 0.0000
0.0000 0.5000 0.5000
0.5000 0.0000 0.5000
0.5000 0.5000 0.0000
0.0000 0.0000 0.5000
0.0000 0.5000 0.0000
0.5000 0.0000 0.0000
0.5000 0.5000 0.5000
0.2363 0.2363 0.2363
0.2496 0.7268 0.7268
0.2732 0.2732 0.7504
0.2732 0.7504 0.2732
0.7268 0.2496 0.7268
0.7268 0.7268 0.2496
0.7504 0.2732 0.2732
0.7637 0.7637 0.7637
```

# Ac3CePa2N6

Crystalline Ac3CePa2N6 at its relaxed geometry (PBE, Alexandria via LeMat-Bulk).

Crystal system = monoclinic
Raw total energy = -8.668 eV per atom
Total moment = 0.0 μB per formula unit

```
Ac3CePa2N6
1.0
8.0988 -1.8275 0.0000
8.0988 1.8275 0.0000
-1.9196 0.0000 7.2208
Ac Ce Pa N
3 1 2 6
Direct
0.0000 0.0000 0.0000
0.3342 0.3342 0.6653
0.6658 0.6658 0.3347
0.0000 0.0000 0.5000
0.3334 0.3334 0.1689
0.6666 0.6666 0.8311
0.1592 0.1592 0.6237
0.1795 0.1795 0.0465
0.4810 0.4810 0.2671
0.5190 0.5190 0.7329
0.8205 0.8205 0.9535
0.8408 0.8408 0.3763
```

# AcCe3Pa4N12

Crystalline AcCe3Pa4N12 at its relaxed geometry (PBE, Alexandria via LeMat-Bulk).

Crystal system = cubic
Raw total energy = -9.416 eV per atom
Total moment = 0.0 μB per formula unit

```
AcCe3Pa4N12
1.0
-4.2992 4.2992 4.2992
4.2992 -4.2992 4.2992
4.2992 4.2992 -4.2992
Ac Ce Pa N
1 3 4 12
Direct
0.0000 0.0000 0.0000
0.0000 0.5000 0.5000
0.5000 0.0000 0.5000
0.5000 0.5000 0.0000
0.0000 0.0000 0.5000
0.0000 0.5000 0.0000
0.5000 0.0000 0.0000
0.5000 0.5000 0.5000
0.1189 0.8150 0.3039
0.1850 0.3039 0.4889
0.1850 0.6961 0.8811
0.3039 0.1189 0.8150
0.3039 0.4889 0.1850
0.4889 0.1850 0.3039
0.5111 0.8150 0.6961
0.6961 0.5111 0.8150
0.6961 0.8811 0.1850
0.8150 0.3039 0.1189
0.8150 0.6961 0.5111
0.8811 0.1850 0.6961
```

# Ac2Ce4Pb3N2

Crystalline Ac2Ce4Pb3N2 at its relaxed geometry (PBE, Alexandria via LeMat-Bulk).

Crystal system = tetragonal
Raw total energy = -6.222 eV per atom
Total moment = 3.4 μB per formula unit

```
Ac2Ce4Pb3N2
1.0
-2.4324 2.4324 13.6191
2.4324 -2.4324 13.6191
2.4324 2.4324 -13.6191
Ac Ce Pb N
2 4 3 2
Direct
0.1942 0.1942 0.0000
0.8058 0.8058 0.0000
0.0824 0.5824 0.5000
0.4176 0.9176 0.5000
0.5824 0.0824 0.5000
0.9176 0.4176 0.5000
0.3278 0.3278 0.0000
0.5000 0.5000 0.0000
0.6722 0.6722 0.0000
0.0990 0.0990 0.0000
0.9010 0.9010 0.0000
```

# Ac2CePmN4

Crystalline Ac2CePmN4 at its relaxed geometry (PBE, Alexandria via LeMat-Bulk).

Crystal system = monoclinic
Raw total energy = -7.770 eV per atom
Total moment = 0.0 μB per formula unit

```
Ac2CePmN4
1.0
6.4299 0.0000 0.0000
0.0000 3.7301 0.0000
-2.1382 0.0000 6.1618
Ac Ce Pm N
2 1 1 4
Direct
0.0000 0.0000 0.0000
0.5000 0.5000 0.0000
0.0000 0.5000 0.5000
0.5000 0.0000 0.5000
0.2336 0.0000 0.7208
0.2485 0.5000 0.2747
0.7515 0.5000 0.7253
0.7664 0.0000 0.2792
```